Pm3ZnRh2 | PBE | relaxed

The structure in CIF format:
```
data_Pm3ZnRh2
_chemical_formula_sum 'Pm12 Zn4 Rh8'
_cell_length_a 11.9823
_cell_length_b 4.0314
_cell_length_c 11.9020
_cell_angle_alpha 90.00
_cell_angle_beta 90.00
_cell_angle_gamma 90.00
_space_group_name_H-M_alt 'P n m a'
_space_group_IT_number 62
_space_group_name_Hall '-P 2ac 2n'
loop_
_atom_site_label
_atom_site_type_symbol
_atom_site_fract_x
_atom_site_fract_y
_atom_site_fract_z
Pm1 Pm 0.0554 0.2500 0.1252
Pm2 Pm 0.1310 0.7500 0.5745
Pm3 Pm 0.2018 0.2500 0.8219
Zn1 Zn 0.1209 0.2500 0.3789
Rh1 Rh 0.0075 0.7500 0.3065
Rh2 Rh 0.1860 0.7500 0.9922
```

- Formation energy: -0.597 eV/atom
- Final energy: -0.207 Ha/atom


Y2AuI2 | PBE | relaxed

The structure in CIF format:
```
data_Y2AuI2
_chemical_formula_sum 'Y4 Au2 I4'
_cell_length_a 7.8138
_cell_length_b 7.8138
_cell_length_c 5.2368
_cell_angle_alpha 90.00
_cell_angle_beta 90.00
_cell_angle_gamma 90.00
_space_group_name_H-M_alt 'P 4/m b m'
_space_group_IT_number 127
_space_group_name_Hall '-P 4 2ab'
loop_
_atom_site_label
_atom_site_type_symbol
_atom_site_fract_x
_atom_site_fract_y
_atom_site_fract_z
Y1 Y 0.1730 0.3270 0.0000
Au1 Au 0.0000 0.0000 0.0000
I1 I 0.1710 0.6710 0.5000
```

- Final energy: -0.166 Ha/atom
- E_form (uncorrected): -313.4 kJ/mol of formula units


KTe2Rh | PBE | relaxed

The structure in CIF format:
```
data_KTe2Rh
_chemical_formula_sum 'K1 Te2 Rh1'
_cell_length_a 3.4821
_cell_length_b 3.8656
_cell_length_c 8.9463
_cell_angle_alpha 90.00
_cell_angle_beta 90.00
_cell_angle_gamma 90.00
_space_group_name_H-M_alt 'P m m 2'
_space_group_IT_number 25
_space_group_name_Hall 'P 2 -2'
loop_
_atom_site_label
_atom_site_type_symbol
_atom_site_fract_x
_atom_site_fract_y
_atom_site_fract_z
K1 K 0.0000 0.0000 0.0000
Te1 Te 0.0000 0.0000 0.6241
Te2 Te 0.5000 0.5000 0.2521
Rh1 Rh 0.5000 0.5000 0.5445
```

- Final energy: -0.144 Ha/atom
- E_form (uncorrected): -91.2 kJ/mol of formula units


InSbSeI2 | PBE | relaxed

The structure in CIF format:
```
data_InSbSeI2
_chemical_formula_sum 'In1 Sb1 Se1 I2'
_cell_length_a 5.7576
_cell_length_b 5.7576
_cell_length_c 6.0273
_cell_angle_alpha 90.00
_cell_angle_beta 90.00
_cell_angle_gamma 90.00
_space_group_name_H-M_alt 'P 4/m m m'
_space_group_IT_number 123
_space_group_name_Hall '-P 4 2'
loop_
_atom_site_label
_atom_site_type_symbol
_atom_site_fract_x
_atom_site_fract_y
_atom_site_fract_z
In1 In 0.0000 0.0000 0.0000
Sb1 Sb 0.0000 0.0000 0.5000
Se1 Se 0.5000 0.5000 0.5000
I1 I 0.0000 0.5000 0.0000
```

- Final energy: -0.080 Ha/atom
- E_form (uncorrected): 241.6 kJ/mol of formula units


AsRhPb2 | PBE | relaxed

The structure in CIF format:
```
data_AsRhPb2
_chemical_formula_sum 'As1 Rh1 Pb2'
_cell_length_a 3.3263
_cell_length_b 3.3263
_cell_length_c 8.0793
_cell_angle_alpha 90.00
_cell_angle_beta 90.00
_cell_angle_gamma 90.00
_space_group_name_H-M_alt 'P 4/m m m'
_space_group_IT_number 123
_space_group_name_Hall '-P 4 2'
loop_
_atom_site_label
_atom_site_type_symbol
_atom_site_fract_x
_atom_site_fract_y
_atom_site_fract_z
As1 As 0.0000 0.0000 0.0000
Rh1 Rh 0.0000 0.0000 0.5000
Pb1 Pb 0.5000 0.5000 0.2793
```

- Formation energy: 0.157 eV/atom
- Final energy: -0.173 Ha/atom


CaPmPI | PBE | relaxed

The structure in CIF format:
```
data_CaPmPI
_chemical_formula_sum 'Ca3 Pm3 P3 I3'
_cell_length_a 4.1856
_cell_length_b 4.1856
_cell_length_c 23.0850
_cell_angle_alpha 90.00
_cell_angle_beta 90.00
_cell_angle_gamma 120.00
_space_group_name_H-M_alt 'R 3 m'
_space_group_IT_number 160
_space_group_name_Hall 'R 3 -2"'
loop_
_atom_site_label
_atom_site_type_symbol
_atom_site_fract_x
_atom_site_fract_y
_atom_site_fract_z
Ca1 Ca 0.0000 0.0000 0.0000
Pm1 Pm 0.0000 0.0000 0.2047
P1 P 0.0000 0.0000 0.6037
I1 I 0.0000 0.0000 0.4348
```

- Final energy: -0.175 Ha/atom
- E_form (uncorrected): -511.2 kJ/mol of formula units


La2CuPb2 | PBE | relaxed

The structure in CIF format:
```
data_La2CuPb2
_chemical_formula_sum 'La4 Cu2 Pb4'
_cell_length_a 7.6372
_cell_length_b 7.6372
_cell_length_c 5.0460
_cell_angle_alpha 90.00
_cell_angle_beta 90.00
_cell_angle_gamma 90.00
_space_group_name_H-M_alt 'P 4/m b m'
_space_group_IT_number 127
_space_group_name_Hall '-P 4 2ab'
loop_
_atom_site_label
_atom_site_type_symbol
_atom_site_fract_x
_atom_site_fract_y
_atom_site_fract_z
La1 La 0.1685 0.3315 0.0000
Cu1 Cu 0.0000 0.0000 0.5000
Pb1 Pb 0.1444 0.6444 0.5000
```

- Formation energy: -0.337 eV/atom
- Final energy: -0.169 Ha/atom


Sm7Tl3In | PBE | relaxed

The structure in CIF format:
```
data_Sm7Tl3In
_chemical_formula_sum 'Sm14 Tl6 In2'
_cell_length_a 11.4981
_cell_length_b 11.7235
_cell_length_c 5.9586
_cell_angle_alpha 90.00
_cell_angle_beta 120.84
_cell_angle_gamma 90.00
_space_group_name_H-M_alt 'C 1 2/m 1'
_space_group_IT_number 12
_space_group_name_Hall '-C 2y'
loop_
_atom_site_label
_atom_site_type_symbol
_atom_site_fract_x
_atom_site_fract_y
_atom_site_fract_z
Sm1 Sm 0.0000 0.0000 0.0000
Sm2 Sm 0.1730 0.2700 0.6738
Sm3 Sm 0.1811 0.5000 0.1799
Tl1 Tl 0.0000 0.2667 0.0000
Tl2 Tl 0.0000 0.5000 0.5000
In1 In 0.0000 0.0000 0.5000
```

- Formation energy: -0.146 eV/atom
- Final energy: -0.149 Ha/atom


PAuC | PBE | relaxed

The structure in CIF format:
```
data_PAuC
_chemical_formula_sum 'P3 Au3 C3'
_cell_length_a 2.9702
_cell_length_b 2.9702
_cell_length_c 15.7934
_cell_angle_alpha 90.00
_cell_angle_beta 90.00
_cell_angle_gamma 120.00
_space_group_name_H-M_alt 'R 3 m'
_space_group_IT_number 160
_space_group_name_Hall 'R 3 -2"'
loop_
_atom_site_label
_atom_site_type_symbol
_atom_site_fract_x
_atom_site_fract_y
_atom_site_fract_z
P1 P 0.0000 0.0000 0.0000
Au1 Au 0.0000 0.0000 0.1495
C1 C 0.0000 0.0000 0.2880
```

- Formation energy: 0.207 eV/atom
- Final energy: -0.212 Ha/atom


BeSbBr2 | PBE | relaxed

The structure in CIF format:
```
data_BeSbBr2
_chemical_formula_sum 'Be1 Sb1 Br2'
_cell_length_a 4.8579
_cell_length_b 4.8579
_cell_length_c 4.0680
_cell_angle_alpha 90.00
_cell_angle_beta 90.00
_cell_angle_gamma 90.00
_space_group_name_H-M_alt 'P 4/m m m'
_space_group_IT_number 123
_space_group_name_Hall '-P 4 2'
loop_
_atom_site_label
_atom_site_type_symbol
_atom_site_fract_x
_atom_site_fract_y
_atom_site_fract_z
Be1 Be 0.0000 0.0000 0.0000
Sb1 Sb 0.5000 0.5000 0.0000
Br1 Br 0.0000 0.5000 0.5000
```

- Final energy: -0.079 Ha/atom
- E_form (uncorrected): 249.4 kJ/mol of formula units


InTcPt2 | PBE | relaxed

The structure in CIF format:
```
data_InTcPt2
_chemical_formula_sum 'In1 Tc1 Pt2'
_cell_length_a 2.9128
_cell_length_b 2.9128
_cell_length_c 7.7898
_cell_angle_alpha 90.00
_cell_angle_beta 90.00
_cell_angle_gamma 90.00
_space_group_name_H-M_alt 'P 4 m m'
_space_group_IT_number 99
_space_group_name_Hall 'P 4 -2'
loop_
_atom_site_label
_atom_site_type_symbol
_atom_site_fract_x
_atom_site_fract_y
_atom_site_fract_z
In1 In 0.0000 0.0000 0.0000
Tc1 Tc 0.5000 0.5000 0.7310
Pt1 Pt 0.0000 0.0000 0.5148
Pt2 Pt 0.5000 0.5000 0.2548
```

- Formation energy: -0.073 eV/atom
- Final energy: -0.234 Ha/atom


Se2SI | PBE | relaxed

The structure in CIF format:
```
data_Se2SI
_chemical_formula_sum 'Se8 S4 I4'
_cell_length_a 7.0756
_cell_length_b 7.0756
_cell_length_c 7.0756
_cell_angle_alpha 90.00
_cell_angle_beta 90.00
_cell_angle_gamma 90.00
_space_group_name_H-M_alt 'F m -3 m'
_space_group_IT_number 225
_space_group_name_Hall '-F 4 2 3'
loop_
_atom_site_label
_atom_site_type_symbol
_atom_site_fract_x
_atom_site_fract_y
_atom_site_fract_z
Se1 Se 0.2500 0.2500 0.2500
S1 S 0.0000 0.0000 0.0000
I1 I 0.0000 0.0000 0.5000
```

- Final energy: -0.085 Ha/atom
- E_form (uncorrected): 328.9 kJ/mol of formula units


In3Sb5Pb12 | PBE | relaxed

The structure in CIF format:
```
data_In3Sb5Pb12
_chemical_formula_sum 'In24 Sb40 Pb96'
_cell_length_a 18.1996
_cell_length_b 18.1996
_cell_length_c 18.1996
_cell_angle_alpha 90.00
_cell_angle_beta 90.00
_cell_angle_gamma 90.00
_space_group_name_H-M_alt 'I a -3 d'
_space_group_IT_number 230
_space_group_name_Hall '-I 4bd 2c 3'
loop_
_atom_site_label
_atom_site_type_symbol
_atom_site_fract_x
_atom_site_fract_y
_atom_site_fract_z
In1 In 0.0000 0.2500 0.1250
Sb1 Sb 0.0000 0.0000 0.0000
Sb2 Sb 0.0000 0.2500 0.3750
Pb1 Pb 0.0163 0.0780 0.6532
```

- Final energy: -0.129 Ha/atom
- E_form (uncorrected): 315.1 kJ/mol of formula units


Pm8SbPb5 | PBE | relaxed

The structure in CIF format:
```
data_Pm8SbPb5
_chemical_formula_sum 'Pm16 Sb2 Pb10'
_cell_length_a 9.6124
_cell_length_b 9.6124
_cell_length_c 9.6045
_cell_angle_alpha 90.00
_cell_angle_beta 90.00
_cell_angle_gamma 90.00
_space_group_name_H-M_alt 'I -4'
_space_group_IT_number 82
_space_group_name_Hall 'I -4'
loop_
_atom_site_label
_atom_site_type_symbol
_atom_site_fract_x
_atom_site_fract_y
_atom_site_fract_z
Pm1 Pm 0.0704 0.1824 0.1950
Pm2 Pm 0.0697 0.3205 0.5539
Sb1 Sb 0.0000 0.5000 0.2500
Pb1 Pb 0.0000 0.0000 0.5000
Pb2 Pb 0.1247 0.2495 0.8745
```

- Final energy: -0.183 Ha/atom
- E_form (uncorrected): -889.4 kJ/mol of formula units


Cr2ReTc | PBE | relaxed

The structure in CIF format:
```
data_Cr2ReTc
_chemical_formula_sum 'Cr8 Re4 Tc4'
_cell_length_a 6.7325
_cell_length_b 6.7325
_cell_length_c 5.0760
_cell_angle_alpha 90.00
_cell_angle_beta 90.00
_cell_angle_gamma 90.00
_space_group_name_H-M_alt 'I -4 2 d'
_space_group_IT_number 122
_space_group_name_Hall 'I -4 2bw'
loop_
_atom_site_label
_atom_site_type_symbol
_atom_site_fract_x
_atom_site_fract_y
_atom_site_fract_z
Cr1 Cr 0.2485 0.2500 0.1250
Re1 Re 0.0000 0.0000 0.5000
Tc1 Tc 0.0000 0.0000 0.0000
```

- Formation energy: 0.799 eV/atom
- Final energy: -0.357 Ha/atom


Cd3ClO2 | PBE | relaxed

The structure in CIF format:
```
data_Cd3ClO2
_chemical_formula_sum 'Cd12 Cl4 O8'
_cell_length_a 11.9634
_cell_length_b 6.7609
_cell_length_c 6.2599
_cell_angle_alpha 90.00
_cell_angle_beta 90.00
_cell_angle_gamma 90.00
_space_group_name_H-M_alt 'C m c 21'
_space_group_IT_number 36
_space_group_name_Hall 'C 2c -2'
loop_
_atom_site_label
_atom_site_type_symbol
_atom_site_fract_x
_atom_site_fract_y
_atom_site_fract_z
Cd1 Cd 0.0000 0.2441 0.0000
Cd2 Cd 0.2025 0.3657 0.5836
Cl1 Cl 0.0000 0.1631 0.4387
O1 O 0.1707 0.3366 0.9363
```

- Final energy: -0.121 Ha/atom
- E_form (uncorrected): -508.2 kJ/mol of formula units


K2LiOsO6 | PBE | relaxed

The structure in CIF format:
```
data_K2LiOsO6
_chemical_formula_sum 'K2 Li1 Os1 O6'
_cell_length_a 5.9331
_cell_length_b 5.9331
_cell_length_c 5.0834
_cell_angle_alpha 90.00
_cell_angle_beta 90.00
_cell_angle_gamma 120.00
_space_group_name_H-M_alt 'P -3 m 1'
_space_group_IT_number 164
_space_group_name_Hall '-P 3 2"'
loop_
_atom_site_label
_atom_site_type_symbol
_atom_site_fract_x
_atom_site_fract_y
_atom_site_fract_z
K1 K 0.3333 0.6667 0.2796
Li1 Li 0.0000 0.0000 0.5000
Os1 Os 0.0000 0.0000 0.0000
O1 O 0.1467 0.2935 0.7823
```

- Final energy: -0.210 Ha/atom
- E_form (uncorrected): -1164.1 kJ/mol of formula units


SrCe2Pd9 | PBE | relaxed

The structure in CIF format:
```
data_SrCe2Pd9
_chemical_formula_sum 'Sr1 Ce2 Pd9'
_cell_length_a 4.1783
_cell_length_b 4.1783
_cell_length_c 12.5675
_cell_angle_alpha 90.00
_cell_angle_beta 90.00
_cell_angle_gamma 90.00
_space_group_name_H-M_alt 'P 4/m m m'
_space_group_IT_number 123
_space_group_name_Hall '-P 4 2'
loop_
_atom_site_label
_atom_site_type_symbol
_atom_site_fract_x
_atom_site_fract_y
_atom_site_fract_z
Sr1 Sr 0.0000 0.0000 0.0000
Ce1 Ce 0.0000 0.0000 0.3330
Pd1 Pd 0.0000 0.5000 0.1783
Pd2 Pd 0.0000 0.5000 0.5000
Pd3 Pd 0.5000 0.5000 0.0000
Pd4 Pd 0.5000 0.5000 0.3383
```

- Formation energy: -0.704 eV/atom
- Final energy: -0.210 Ha/atom


Na2CdCl3 | PBE | relaxed

The structure in CIF format:
```
data_Na2CdCl3
_chemical_formula_sum 'Na8 Cd4 Cl12'
_cell_length_a 13.4365
_cell_length_b 5.6218
_cell_length_c 8.2893
_cell_angle_alpha 90.00
_cell_angle_beta 107.97
_cell_angle_gamma 90.00
_space_group_name_H-M_alt 'C 1 2/c 1'
_space_group_IT_number 15
_space_group_name_Hall '-C 2yc'
loop_
_atom_site_label
_atom_site_type_symbol
_atom_site_fract_x
_atom_site_fract_y
_atom_site_fract_z
Na1 Na 0.1683 0.9997 0.0843
Cd1 Cd 0.0000 0.5004 0.2500
Cl1 Cl 0.0000 0.0005 0.2500
Cl2 Cl 0.1814 0.4998 0.0906
```

- Final energy: -0.105 Ha/atom
- E_form (uncorrected): -768.9 kJ/mol of formula units


MgTeH | PBE | relaxed

The structure in CIF format:
```
data_MgTeH
_chemical_formula_sum 'Mg2 Te2 H2'
_cell_length_a 4.6398
_cell_length_b 4.6575
_cell_length_c 9.5408
_cell_angle_alpha 90.17
_cell_angle_beta 90.07
_cell_angle_gamma 119.84
_space_group_name_H-M_alt 'P -1'
_space_group_IT_number 2
_space_group_name_Hall '-P 1'
loop_
_atom_site_label
_atom_site_type_symbol
_atom_site_fract_x
_atom_site_fract_y
_atom_site_fract_z
Mg1 Mg 0.1667 0.3332 0.1084
Te1 Te 0.1652 0.3308 0.8045
H1 H 0.4670 0.9355 0.4715
```

- Final energy: -0.120 Ha/atom


Per-record Fermi-level density of states, states/eV/cell: 16.01, 6.69, 3.28, 2.62, 2.65, 6.42, 10.66, 20.77, 0.98, 2.98, 3.22, 11.24, 74.79, 15.38, 21.91, 3.58, 7.34, 5.43, 6.67, 0.00